# UVH3 | the Alexandria database | PBE | relaxed
# Total magnetization   2.2 μB/cell
# Offset from the most stable computed form   53 meV/atom
data_UVH3
_chemical_formula_sum 'U1 V1 H3'
_cell_length_a 3.6167
_cell_length_b 3.6167
_cell_length_c 3.6167
_cell_angle_alpha 90.00
_cell_angle_beta 90.00
_cell_angle_gamma 90.00
_symmetry_space_group_name_H-M 'P m -3 m'
_symmetry_Int_Tables_number 221
_symmetry_space_group_name_Hall '-P 4 2 3'
loop_
_atom_site_label
_atom_site_type_symbol
_atom_site_fract_x
_atom_site_fract_y
_atom_site_fract_z
U1 U 0.0000 0.0000 0.0000
V1 V 0.5000 0.5000 0.5000
H1 H 0.0000 0.5000 0.5000